Entry 1:
First-principles (GGA-PBE) data for a relaxed structure of KZrTc2, as listed in Alexandria via LeMat-Bulk.

Summary:
calculated total energy = -27.46 eV for the cell shown
total magnetization = 0.000 μB per formula unit
calculated volume = 28.54 Å³ per atom
DOS(E_F) = 0.73 states/eV/atom
ΔE_f = 2.92 eV/f.u.
crystal system = orthorhombic

Geometry as extended XYZ:
```
4
Lattice="7.403 0.408 -0.006 4.776 5.671 0.006 -5.766 -3.687 2.850" Properties=species:S:1:pos:R:3 pbc="T T T"
K 1.992 2.233 1.428
Tc 5.204 0.549 1.422
Tc 11.759 5.870 0.000
Zr 5.727 2.859 0.000
```


Entry 2:
First-principles (GGA-PBE) data for a relaxed structure of K4ZrTc, as listed in Alexandria via LeMat-Bulk.

Summary:
calculated total energy = -14.36 eV for the cell shown
total magnetization = 0.009 μB per formula unit
calculated volume = 37.69 Å³ per atom
DOS(E_F) = 1.38 states/eV/atom
ΔE_f = 8.95 eV/f.u.
crystal system = cubic

Geometry as extended XYZ:
```
6
Lattice="0.000 4.836 4.836 4.836 0.000 4.836 4.836 4.836 0.000" Properties=species:S:1:pos:R:3 pbc="T T T"
Tc 7.254 7.254 7.254
Zr 0.000 0.000 0.000
K 3.636 6.036 6.036
K 6.036 6.036 3.636
K 6.036 3.636 6.036
K 3.636 3.636 3.636
```


Entry 3:
First-principles (GGA-PBE) data for a relaxed structure of KZrTc2, as listed in Alexandria via LeMat-Bulk.

Summary:
calculated total energy = -27.88 eV for the cell shown
total magnetization = 0.000 μB per formula unit
calculated volume = 19.94 Å³ per atom
DOS(E_F) = 0.64 states/eV/atom
ΔE_f = 2.50 eV/f.u.
crystal system = orthorhombic

Geometry as extended XYZ:
```
4
Lattice="-2.061 -0.970 1.809 2.576 -1.252 0.508 2.296 7.399 6.588" Properties=species:S:1:pos:R:3 pbc="T T T"
Tc 1.062 3.423 3.047
Tc 0.086 0.277 0.246
Zr 0.831 0.739 2.805
K 1.980 4.438 6.099
```


Entry 4:
First-principles (GGA-PBE) data for a relaxed structure of KZrTc, as listed in Alexandria via LeMat-Bulk.

Summary:
calculated total energy = -18.15 eV for the cell shown
total magnetization = 0.000 μB per formula unit
calculated volume = 25.06 Å³ per atom
DOS(E_F) = 1.19 states/eV/atom
ΔE_f = 1.86 eV/f.u.
crystal system = orthorhombic

Geometry as extended XYZ:
```
3
Lattice="8.657 -0.005 0.003 7.861 3.041 0.001 0.795 -1.068 2.853" Properties=species:S:1:pos:R:3 pbc="T T T"
Tc 5.717 0.217 1.961
Zr 11.811 1.807 0.857
K 16.303 2.980 0.043
```


Entry 5:
First-principles (GGA-PBE) data for a relaxed structure of KZrTc, as listed in Alexandria via LeMat-Bulk.

Summary:
calculated total energy = -16.74 eV for the cell shown
total magnetization = 0.000 μB per formula unit
calculated volume = 21.31 Å³ per atom
DOS(E_F) = 0.82 states/eV/atom
ΔE_f = 3.27 eV/f.u.
crystal system = trigonal

Geometry as extended XYZ:
```
3
Lattice="-2.703 -4.050 -1.970 3.574 2.460 -2.960 1.885 -1.684 0.876" Properties=species:S:1:pos:R:3 pbc="T T T"
Tc 0.018 -2.441 -2.008
Zr 3.059 -1.119 -1.897
K 1.565 -1.398 0.727
```


Entry 6:
First-principles (GGA-PBE) data for a relaxed structure of KZrTc3, as listed in Alexandria via LeMat-Bulk.

Summary:
calculated total energy = -28.08 eV for the cell shown
total magnetization = 0.000 μB per formula unit
calculated volume = 18.48 Å³ per atom
DOS(E_F) = 1.82 states/eV/atom
ΔE_f = 12.66 eV/f.u.
crystal system = cubic

Geometry as extended XYZ:
```
5
Lattice="-0.449 0.589 -4.459 -2.075 -4.004 -0.319 -3.991 2.015 0.668" Properties=species:S:1:pos:R:3 pbc="T T T"
K 0.000 0.000 0.000
Tc -1.996 1.007 0.334
Tc -0.225 0.294 -2.230
Tc -1.037 -2.002 -0.160
Zr -3.257 -0.700 -2.055
```


Entry 7:
First-principles (GGA-PBE) data for a relaxed structure of K2ZrTc, as listed in Alexandria via LeMat-Bulk.

Summary:
calculated total energy = -12.86 eV for the cell shown
total magnetization = 0.000 μB per formula unit
calculated volume = 27.59 Å³ per atom
DOS(E_F) = 2.53 states/eV/atom
ΔE_f = 8.25 eV/f.u.
crystal system = cubic

Geometry as extended XYZ:
```
4
Lattice="0.000 3.807 3.807 3.807 0.000 3.807 3.807 3.807 0.000" Properties=species:S:1:pos:R:3 pbc="T T T"
Zr 0.000 0.000 0.000
K 1.904 1.904 1.904
K 5.711 5.711 5.711
Tc 3.807 3.807 3.807
```


Entry 8:
First-principles (GGA-PBE) data for a relaxed structure of K2ZrTc, as listed in Alexandria via LeMat-Bulk.

Summary:
calculated total energy = -18.55 eV for the cell shown
total magnetization = 0.738 μB per formula unit
calculated volume = 31.90 Å³ per atom
DOS(E_F) = 1.04 states/eV/atom
ΔE_f = 2.56 eV/f.u.
crystal system = trigonal

Geometry as extended XYZ:
```
4
Lattice="-5.303 9.653 5.097 -8.192 8.059 3.905 -6.846 7.154 7.016" Properties=species:S:1:pos:R:3 pbc="T T T"
Tc -9.893 12.094 7.791
K -4.655 5.691 3.666
K -0.223 0.273 0.176
Zr -15.740 19.242 12.395
```


- calculated volume of number 3 (KZrTc2)?
  19.94 Å³ per atom


- Which of these has the highest total magnetization?
  number 8


- total magnetization of number 3 (KZrTc2)?
  0.000 μB per formula unit